This record from Alexandria via LeMat-Bulk describes Cr2CdFe after structural relaxation. The functional is PBE.

DOS(E_F) ... 7.204 states/eV per cell
DFT formation energy ... 351 meV/atom
Total magnetic moment ... 2.120 μB per formula unit

Unit cell a=3.0007 b=4.3236 c=8.4876 alpha=90.00 beta=90.00 gamma=90.00
With the nearest neighbours (Å) after each atom.
Space group Cmm2 (No. 35)
Asymmetric unit:
Cr 0.0000 0.0000 0.0000 x2  2 Cr 2.34
Cr 0.0000 0.5000 0.2110 x2  2 Cr 2.34, 2 Fe 2.41
Cd 0.0000 0.5000 0.7127 x2  4 Cd 2.63, 2 Fe 2.80, 2 Cr 2.86
Fe 0.0000 0.0000 0.4336 x2  2 Cr 2.41, 4 Fe 2.63

This record from Alexandria via LeMat-Bulk describes CrCd2Fe after structural relaxation. The functional is PBE.

DOS(E_F) ... 8.901 states/eV per cell
DFT formation energy ... 477 meV/atom
Total magnetic moment ... 5.964 μB per formula unit

Unit cell a=4.1593 b=4.1593 c=7.8855 alpha=90.00 beta=90.00 gamma=90.00
With the nearest neighbours (Å) after each atom.
Space group I4/mmm (No. 139)
Asymmetric unit:
Cr 0.0000 0.0000 0.0000 x2  8 Cd 2.87, 4 Fe 2.94
Cd 0.0000 0.5000 0.2500 x4  4 Cr 2.87, 4 Fe 2.87, 4 Cd 2.94
Fe 0.0000 0.0000 0.5000 x2  8 Cd 2.87, 4 Cr 2.94

This record from Alexandria via LeMat-Bulk describes CrCd2Fe after structural relaxation. The functional is PBE.

DOS(E_F) ... 7.869 states/eV per cell
DFT formation energy ... 372 meV/atom
Total magnetic moment ... 0.558 μB per formula unit

Unit cell a=2.8774 b=2.8774 c=27.9796 alpha=90.00 beta=90.00 gamma=120.00
With the nearest neighbours (Å) after each atom.
Space group R3m (No. 160, hexagonal axes)
Asymmetric unit:
Cr 0.0000 0.0000 0.0000 x3  3 Fe 2.36
Cd 0.0000 0.0000 0.2460 x3  6 Cd 2.88, 3 Cr 2.95
Cd 0.0000 0.0000 0.4769 x3  3 Fe 2.87, 6 Cd 2.88
Fe 0.0000 0.0000 0.7268 x3  3 Cr 2.36

This record from Alexandria via LeMat-Bulk describes Cr2CdFe after structural relaxation. The functional is PBE.

DOS(E_F) ... 3.960 states/eV per cell
DFT formation energy ... 475 meV/atom
Total magnetic moment ... 1.953 μB per formula unit

Unit cell a=3.6517 b=3.8917 c=4.0853 alpha=90.00 beta=90.00 gamma=90.00
With the nearest neighbours (Å) after each atom.
Space group Pmmm (No. 47)
Asymmetric unit:
Cr 0.0000 0.0000 0.0000 x1  4 Cr 2.67, 4 Fe 2.74, 4 Cd 2.82
Cr 0.5000 0.5000 0.0000 x1  4 Cr 2.67, 4 Cd 2.74, 4 Fe 2.82
Cd 0.0000 0.5000 0.5000 x1  4 Fe 2.67, 8 Cr 2.74-2.82
Fe 0.5000 0.0000 0.5000 x1  4 Cd 2.67, 8 Cr 2.74-2.82

This record from Alexandria via LeMat-Bulk describes Cr2CdFe after structural relaxation. The functional is PBE.

DOS(E_F) ... 11.737 states/eV per cell
DFT formation energy ... 509 meV/atom
Total magnetic moment ... 1.254 μB per formula unit

Unit cell a=2.7020 b=2.7020 c=26.4736 alpha=90.00 beta=90.00 gamma=120.00
With the nearest neighbours (Å) after each atom.
Space group R-3m (No. 166, hexagonal axes)
Asymmetric unit:
Cr 0.0000 0.0000 0.2392 x6  3 Fe 2.47, 6 Cr 2.70
Cd 0.0000 0.0000 0.0000 x3  6 Cd 2.70, 6 Cr 2.94
Fe 0.0000 0.0000 0.5000 x3  6 Cr 2.47, 6 Fe 2.70

This record from Alexandria via LeMat-Bulk describes Cr2CdFe after structural relaxation. The functional is PBE.

DOS(E_F) ... 3.442 states/eV per cell
DFT formation energy ... 803 meV/atom
Total magnetic moment ... 0.000 μB per formula unit

Unit cell a=6.7431 b=6.7431 c=5.1159 alpha=90.00 beta=90.00 gamma=90.00
With the nearest neighbours (Å) after each atom.
Space group I-42d (No. 122)
Asymmetric unit:
Cr 0.1856 0.2500 0.1250 x8  2 Fe 2.19
Cd 0.0000 0.0000 0.5000 x4  2 Fe 2.56, 8 Cr 2.78-2.84
Fe 0.0000 0.0000 0.0000 x4  4 Cr 2.19

This record from Alexandria via LeMat-Bulk describes CrCdFe after structural relaxation. The functional is PBE.

DOS(E_F) ... 9.261 states/eV per cell
DFT formation energy ... 443 meV/atom
Total magnetic moment ... 1.948 μB per formula unit

Unit cell a=3.0484 b=4.3508 c=13.1358 alpha=90.00 beta=90.00 gamma=90.00
With the nearest neighbours (Å) after each atom.
Space group Fmm2 (No. 42)
Asymmetric unit:
Cr 0.0000 0.0000 0.0000 x4  2 Fe 2.34
Cd 0.0000 0.0000 0.6838 x4  4 Cd 2.66, 2 Fe 2.83, 2 Cr 2.86
Fe 0.0000 0.0000 0.3653 x4  2 Cr 2.34

This record from Alexandria via LeMat-Bulk describes CrCdFe after structural relaxation. The functional is PBE.

DOS(E_F) ... 16.809 states/eV per cell
DFT formation energy ... 765 meV/atom
Total magnetic moment ... 1.355 μB per formula unit

Unit cell a=6.0170 b=6.0170 c=6.0170 alpha=90.00 beta=90.00 gamma=90.00
With the nearest neighbours (Å) after each atom.
Space group F-43m (No. 216)
Asymmetric unit:
Cr 0.0000 0.0000 0.0000 x4  4 Fe 2.61
Cd 0.0000 0.0000 0.5000 x4  4 Fe 2.61
Fe 0.2500 0.2500 0.2500 x4  4 Cd 2.61, 4 Cr 2.61

This record from Alexandria via LeMat-Bulk describes CrCd2Fe after structural relaxation. The functional is PBE.

DOS(E_F) ... 15.486 states/eV per cell
DFT formation energy ... 804 meV/atom
Total magnetic moment ... 6.471 μB per formula unit

Unit cell a=7.4021 b=7.4021 c=5.5897 alpha=90.00 beta=90.00 gamma=90.00
With the nearest neighbours (Å) after each atom.
Space group I-42d (No. 122)
Asymmetric unit:
Cr 0.0000 0.0000 0.0000 x4  4 Cd 2.79, 2 Fe 2.79
Cd 0.2335 0.2500 0.6250 x8  2 Fe 2.63, 2 Cr 2.79, 2 Cd 2.81
Fe 0.0000 0.0000 0.5000 x4  4 Cd 2.63, 2 Cr 2.79

This record from Alexandria via LeMat-Bulk describes Cr2CdFe after structural relaxation. The functional is PBE.

DOS(E_F) ... 5.630 states/eV per cell
DFT formation energy ... 478 meV/atom
Total magnetic moment ... 1.537 μB per formula unit

Unit cell a=8.9929 b=2.8101 c=4.6238 alpha=90.00 beta=103.96 gamma=90.00
With the nearest neighbours (Å) after each atom.
Space group C2/m (No. 12)
Asymmetric unit:
Cr 0.2330 0.0000 0.1706 x4  2 Cr 2.19
Cd 0.0000 0.0000 0.5000 x2  4 Fe 2.71, 2 Cd 2.81, 6 Cr 2.87-2.88
Fe 0.0000 0.5000 0.0000 x2  6 Cr 2.49-2.70, 4 Cd 2.71

This record from Alexandria via LeMat-Bulk describes CrCd2Fe after structural relaxation. The functional is PBE.

DOS(E_F) ... 3.348 states/eV per cell
DFT formation energy ... 450 meV/atom
Total magnetic moment ... 5.971 μB per formula unit

Unit cell a=4.1698 b=4.1698 c=3.9153 alpha=90.00 beta=90.00 gamma=90.00
With the nearest neighbours (Å) after each atom.
Space group P4/mmm (No. 123)
Asymmetric unit:
Cr 0.0000 0.0000 0.0000 x1  8 Cd 2.86, 4 Fe 2.95
Cd 0.0000 0.5000 0.5000 x2  4 Cr 2.86, 4 Fe 2.86, 4 Cd 2.95
Fe 0.5000 0.5000 0.0000 x1  8 Cd 2.86, 4 Cr 2.95

This record from Alexandria via LeMat-Bulk describes CrCd2Fe after structural relaxation. The functional is PBE.

DOS(E_F) ... 7.334 states/eV per cell
DFT formation energy ... 481 meV/atom
Total magnetic moment ... 5.963 μB per formula unit

Unit cell a=9.7176 b=2.9295 c=4.9605 alpha=90.00 beta=103.87 gamma=90.00
With the nearest neighbours (Å) after each atom.
Space group Cm (No. 8)
Asymmetric unit:
Cr 0.0000 0.0000 0.0000 x2  2 Fe 2.67, 7 Cd 2.81-2.97, 2 Cr 2.93
Cd 0.2425 0.0000 0.7617 x2  4 Fe 2.83-2.94, 3 Cr 2.88-2.90, 5 Cd 2.93-3.02
Cd 0.4771 0.0000 0.4713 x2  4 Cr 2.81-2.97, 3 Fe 2.84-2.92, 5 Cd 2.93-3.02
Fe 0.2261 0.5000 0.2401 x2  2 Cr 2.67, 7 Cd 2.83-2.94, 2 Fe 2.93